1.
# LiCaHgAs PBE optimized geometry
data_LiCaHgAs
_symmetry_space_group_name_H-M 'F -4 3 m'
_symmetry_Int_Tables_number 216
_symmetry_space_group_name_Hall 'F -4 2 3'
_cell_length_a 7.108
_cell_length_b 7.108
_cell_length_c 7.108
_cell_angle_alpha 90.00
_cell_angle_beta 90.00
_cell_angle_gamma 90.00
loop_
_atom_site_label
_atom_site_fract_x
_atom_site_fract_y
_atom_site_fract_z
Li1 0.000 0.000 0.000
Ca1 0.000 0.000 0.500
Hg1 0.250 0.250 0.250
As1 0.250 0.250 0.750
# - ΔE_f: -665 meV per atom
# - Size of the total moment: 0.000 μB/cell
# - DOS at the Fermi energy: 0.932 states/eV/cell

***

2.
# PaTeO2 PBE optimized geometry
data_PaTeO2
_symmetry_space_group_name_H-M 'R -3 m'
_symmetry_Int_Tables_number 166
_symmetry_space_group_name_Hall '-R 3 2"'
_cell_length_a 3.6006
_cell_length_b 3.6006
_cell_length_c 26.9589
_cell_angle_alpha 90.00
_cell_angle_beta 90.00
_cell_angle_gamma 120.00
loop_
_atom_site_label
_atom_site_fract_x
_atom_site_fract_y
_atom_site_fract_z
Pa1 0.0000 0.0000 0.0000
Te1 0.0000 0.0000 0.5000
O1 0.0000 0.0000 0.3655
# - Formation energy from raw total energies: -2.267 eV/atom
# - Size of the total moment: 1.795 μB/cell
# - DOS at the Fermi energy: 17.559 states/eV/cell

***

3.
# Nd12Ni2Hg5 PBE optimized geometry
data_Nd12Ni2Hg5
_symmetry_space_group_name_H-M 'C 1 2/m 1'
_symmetry_Int_Tables_number 12
_cell_length_a 17.197
_cell_length_b 7.639
_cell_length_c 10.011
_cell_angle_alpha 90.00
_cell_angle_beta 108.19
_cell_angle_gamma 90.00
loop_
_symmetry_equiv_pos_as_xyz
'x,y,z'
'-x,-y,-z'
'-x,y,-z'
'x,-y,z'
'x+1/2,y+1/2,z'
'-x+1/2,-y+1/2,-z'
'-x+1/2,y+1/2,-z'
'x+1/2,-y+1/2,z'
loop_
_atom_site_label
_atom_site_fract_x
_atom_site_fract_y
_atom_site_fract_z
Nd1 0.000 0.000 0.246
Nd2 0.008 0.500 0.685
Nd3 0.152 0.254 0.074
Nd4 0.158 0.235 0.576
Ni1 0.000 0.174 0.500
Hg1 0.000 0.500 0.000
Hg2 0.193 0.000 0.335
Hg3 0.195 0.000 0.857
# - ΔE_f: -142 meV per atom
# - Size of the total moment: 0.005 μB/cell
# - DOS at the Fermi energy: 53.705 states/eV/cell

***

4.
# NaSr3Pt PBE optimized geometry
data_NaSr3Pt
_symmetry_space_group_name_H-M 'C 1 2/m 1'
_symmetry_Int_Tables_number 12
_cell_length_a 13.981
_cell_length_b 6.149
_cell_length_c 10.377
_cell_angle_alpha 90.00
_cell_angle_beta 110.63
_cell_angle_gamma 90.00
loop_
_symmetry_equiv_pos_as_xyz
'x,y,z'
'-x,-y,-z'
'-x,y,-z'
'x,-y,z'
'x+1/2,y+1/2,z'
'-x+1/2,-y+1/2,-z'
'-x+1/2,y+1/2,-z'
'x+1/2,-y+1/2,z'
loop_
_atom_site_label
_atom_site_fract_x
_atom_site_fract_y
_atom_site_fract_z
Na1 0.090 0.000 0.422
Sr1 0.101 0.500 0.198
Sr2 0.142 0.000 0.935
Sr3 0.152 0.500 0.655
Pt1 0.127 0.500 0.923
# - ΔE_f: -392 meV per atom
# - Size of the total moment: 0.000 μB/cell
# - DOS at the Fermi energy: 14.341 states/eV/cell

***

5.
# PrNdTeSe PBE optimized geometry
data_PrNdTeSe
_symmetry_space_group_name_H-M 'R 3 m'
_symmetry_Int_Tables_number 160
_symmetry_space_group_name_Hall 'R 3 -2"'
_cell_length_a 4.3725
_cell_length_b 4.3725
_cell_length_c 21.6444
_cell_angle_alpha 90.00
_cell_angle_beta 90.00
_cell_angle_gamma 120.00
loop_
_atom_site_label
_atom_site_fract_x
_atom_site_fract_y
_atom_site_fract_z
Pr1 0.0000 0.0000 0.0000
Nd1 0.0000 0.0000 0.4784
Te1 0.0000 0.0000 0.2384
Se1 0.0000 0.0000 0.7402
# - Formation energy from raw total energies: -1.650 eV/atom
# - Size of the total moment: 0.000 μB/cell
# - DOS at the Fermi energy: 4.552 states/eV/cell

***

6.
# GdHoEr PBE optimized geometry
data_GdHoEr
_symmetry_space_group_name_H-M 'I 4 m m'
_symmetry_Int_Tables_number 107
_symmetry_space_group_name_Hall 'I 4 -2'
_cell_length_a 3.540
_cell_length_b 3.540
_cell_length_c 14.994
_cell_angle_alpha 90.00
_cell_angle_beta 90.00
_cell_angle_gamma 90.00
loop_
_atom_site_label
_atom_site_fract_x
_atom_site_fract_y
_atom_site_fract_z
Gd1 0.000 0.000 0.000
Ho1 0.000 0.000 0.331
Er1 0.000 0.000 0.668
# - ΔE_f: 24 meV per atom
# - Size of the total moment: 14.535 μB/cell
# - DOS at the Fermi energy: 9.239 states/eV/cell

***

7.
# Tm4ZnCu3 PBE optimized geometry
data_Tm4ZnCu3
_symmetry_space_group_name_H-M 'P m m 2'
_symmetry_Int_Tables_number 25
_cell_length_a 3.642
_cell_length_b 4.479
_cell_length_c 10.356
_cell_angle_alpha 90.00
_cell_angle_beta 90.00
_cell_angle_gamma 90.00
loop_
_symmetry_equiv_pos_as_xyz
'x,y,z'
'-x,-y,z'
'-x,y,z'
'x,-y,z'
loop_
_atom_site_label
_atom_site_fract_x
_atom_site_fract_y
_atom_site_fract_z
Tm1 0.000 0.000 0.000
Tm2 0.000 0.500 0.275
Tm3 0.500 0.000 0.486
Tm4 0.500 0.500 0.781
Zn1 0.000 0.000 0.710
Cu1 0.000 0.500 0.563
Cu2 0.500 0.000 0.209
Cu3 0.500 0.500 0.065
# - ΔE_f: -275 meV per atom
# - Size of the total moment: 0.000 μB/cell
# - DOS at the Fermi energy: 7.765 states/eV/cell

***

8.
# RbPRuPt PBE optimized geometry
data_RbPRuPt
_symmetry_space_group_name_H-M 'P 4/n m m'
_symmetry_Int_Tables_number 129
_cell_length_a 3.847
_cell_length_b 3.847
_cell_length_c 12.941
_cell_angle_alpha 90.00
_cell_angle_beta 90.00
_cell_angle_gamma 90.00
loop_
_symmetry_equiv_pos_as_xyz
'x,y,z'
'-x,-y,-z'
'-y+1/2,x,z'
'y+1/2,-x,-z'
'-x+1/2,-y+1/2,z'
'x+1/2,y+1/2,-z'
'y,-x+1/2,z'
'-y,x+1/2,-z'
'x+1/2,-y,-z'
'-x+1/2,y,z'
'-y,-x,-z'
'y,x,z'
'-x,y+1/2,-z'
'x,-y+1/2,z'
'y+1/2,x+1/2,-z'
'-y+1/2,-x+1/2,z'
loop_
_atom_site_label
_atom_site_fract_x
_atom_site_fract_y
_atom_site_fract_z
Rb1 0.250 0.250 0.226
P1 0.250 0.250 0.601
Ru1 0.250 0.750 0.500
Pt1 0.250 0.750 0.000
# - ΔE_f: -295 meV per atom
# - Size of the total moment: 0.000 μB/cell
# - DOS at the Fermi energy: 7.047 states/eV/cell